(1)
The following is a DFT calculation (PBE-GGA) of a geometry-optimized Ta2AlMo structure.

a = 10.1270 Å, b = 3.3273 Å, c = 4.5062 Å
α = 90.00°, β = 116.33°, γ = 90.00°
Space group Cm (No. 8)
Symmetry-distinct sites (fractional):
Ta 0.0000 0.0000 0.0000 [2 per cell]
Ta 0.2454 0.0000 0.7451 [2 per cell]
Al 0.2654 0.5000 0.2652 [2 per cell]
Mo 0.0135 0.5000 0.5129 [2 per cell]

Computed properties:
* formation enthalpy at 0 K: -13.4 kJ per mole of atoms
* total energy: -9.7089 eV/atom

=====

(2)
The following is a DFT calculation (PBE-GGA) of a geometry-optimized Tl2CdPd structure.

a = 3.1878 Å, b = 3.1878 Å, c = 34.0277 Å
α = 90.00°, β = 90.00°, γ = 120.00°
Space group R-3m (No. 166, hexagonal axes)
Symmetry-distinct sites (fractional):
Tl 0.0000 0.0000 0.0801 [6 per cell]
Cd 0.0000 0.0000 0.5000 [3 per cell]
Pd 0.0000 0.0000 0.0000 [3 per cell]

Computed properties:
* energy above the lowest structure with this stoichiometry: 0.183 eV per atom
* formation enthalpy at 0 K: 18.2 kJ per mole of atoms
* total energy: -2.5215 eV/atom